First-principles (PBE) data for a relaxed structure of CuPdPbAu, as listed in the Open Quantum Materials Database.

CIF file:
```
data_CuPdPbAu
_space_group_name_H-M_alt 'F -4 3 m'
_space_group_IT_number 216
_space_group_name_Hall 'F -4 2 3'
_cell_length_a 6.602
_cell_length_b 6.602
_cell_length_c 6.602
_cell_angle_alpha 90.00
_cell_angle_beta 90.00
_cell_angle_gamma 90.00
loop_
_atom_site_label
_atom_site_type_symbol
_atom_site_fract_x
_atom_site_fract_y
_atom_site_fract_z
Cu1 Cu 0.000 0.000 0.000
Pd1 Pd 0.000 0.000 0.500
Pb1 Pb 0.250 0.250 0.750
Au1 Au 0.250 0.250 0.250
```

E above lowest polymorph: 0.0 meV/atom
E: -4.000 eV per atom